Record 1
# CuRhO3

A geometry-optimized CuRhO3 structure (PBE, Alexandria via LeMat-Bulk).

Cell lengths 3.8443, 3.8443, 3.8443 Å; angles 90.00, 90.00, 90.00 degrees
Last column: nearest neighbours and their distance in Å.
Fractional positions:
Cu: 0.0000 0.0000 0.0000  12 O 2.72
Rh: 0.5000 0.5000 0.5000  6 O 1.92
O: 0.0000 0.5000 0.5000  2 Rh 1.92
O: 0.5000 0.0000 0.5000  2 Rh 1.92
O: 0.5000 0.5000 0.0000  2 Rh 1.92

Summary:
ΔE_f (raw): 0.031 eV per atom
crystal system: cubic
symmetry: Pm-3m
magnetic moment: 2.18 μB/f.u.

Record 2
# CuRhO2

A geometry-optimized CuRhO2 structure (PBE, Alexandria via LeMat-Bulk).

Cell lengths 6.0011, 6.0011, 6.0011 Å; angles 30.28, 30.28, 30.28 degrees
Last column: nearest neighbours and their distance in Å.
Fractional positions:
Cu: 0.0000 0.0000 0.0000  2 O 1.84
Rh: 0.5000 0.5000 0.5000  6 O 2.08
O: 0.1075 0.1075 0.1075  1 Cu 1.84
O: 0.8925 0.8925 0.8925  1 Cu 1.84

Summary:
ΔE_f (raw): -0.612 eV per atom
crystal system: trigonal
symmetry: R-3m
magnetic moment: 0.00 μB/f.u.

Record 3
# CuRh2O

A geometry-optimized CuRh2O structure (PBE, Alexandria via LeMat-Bulk).

Cell lengths 6.1104, 6.1104, 6.1104 Å; angles 130.37, 130.37, 72.82 degrees
Last column: nearest neighbours and their distance in Å.
Fractional positions:
Cu: 0.0000 0.0000 0.0000  4 Rh 2.49
Cu: 0.7500 0.2500 0.5000  4 Rh 2.49
Rh: 0.2143 0.6250 0.0893  2 O 1.96
Rh: 0.3750 0.4643 0.5893  2 O 1.96
Rh: 0.5357 0.1250 0.9107  2 O 1.96
Rh: 0.8750 0.7857 0.4107  2 O 1.96
O: 0.2500 0.7500 0.5000  4 Rh 1.96
O: 0.5000 0.5000 0.0000  4 Rh 1.96

Summary:
ΔE_f (raw): 0.433 eV per atom
crystal system: tetragonal
symmetry: I-42d
magnetic moment: 0.00 μB/f.u.

Record 4
# CuRhO2

A geometry-optimized CuRhO2 structure (PBE, Alexandria via LeMat-Bulk).

Cell lengths 5.2724, 5.2724, 5.2724 Å; angles 123.52, 123.52, 84.00 degrees
Last column: nearest neighbours and their distance in Å.
Fractional positions:
Cu: 0.0000 0.0000 0.0000  4 O 1.99
Cu: 0.7500 0.2500 0.5000  4 O 1.99
Rh: 0.2500 0.7500 0.5000  4 O 2.05
Rh: 0.5000 0.5000 0.0000  4 O 2.05
O: 0.1155 0.6250 0.9905  2 Cu 1.99, 2 Rh 2.05
O: 0.3750 0.3655 0.4905  2 Cu 1.99, 2 Rh 2.05
O: 0.6345 0.1250 0.0095  2 Cu 1.99, 2 Rh 2.05
O: 0.8750 0.8845 0.5095  2 Cu 1.99, 2 Rh 2.05

Summary:
ΔE_f (raw): -0.219 eV per atom
crystal system: tetragonal
symmetry: I-42d
magnetic moment: 0.00 μB/f.u.

Record 5
# Cu6RhO12

A geometry-optimized Cu6RhO12 structure (PBE, Alexandria via LeMat-Bulk).

Cell lengths 5.8756, 5.8756, 5.8756 Å; angles 100.92, 100.92, 100.92 degrees
Last column: nearest neighbours and their distance in Å.
Fractional positions:
Cu: 0.0939 0.6436 0.8261  4 O 1.88-2.01
Cu: 0.1739 0.9061 0.3564  4 O 1.88-2.01
Cu: 0.3564 0.1739 0.9061  4 O 1.88-2.01
Cu: 0.6436 0.8261 0.0939  4 O 1.88-2.01
Cu: 0.8261 0.0939 0.6436  4 O 1.88-2.01
Cu: 0.9061 0.3564 0.1739  4 O 1.88-2.01
Rh: 0.5000 0.5000 0.5000  6 O 1.94
O: 0.0897 0.3213 0.8970  4 Cu 1.93-2.12
O: 0.1030 0.9103 0.6787  4 Cu 1.93-2.12
O: 0.1821 0.5469 0.3966  1 Cu 1.88, 1 Rh 1.94
O: 0.3213 0.8970 0.0897  4 Cu 1.93-2.12
O: 0.3966 0.1821 0.5469  1 Cu 1.88, 1 Rh 1.94
O: 0.4531 0.6034 0.8179  1 Cu 1.88, 1 Rh 1.94
O: 0.5469 0.3966 0.1821  1 Cu 1.88, 1 Rh 1.94
O: 0.6034 0.8179 0.4531  1 Cu 1.88, 1 Rh 1.94
O: 0.6787 0.1030 0.9103  4 Cu 1.93-2.12
O: 0.8179 0.4531 0.6034  1 Cu 1.88, 1 Rh 1.94
O: 0.8970 0.0897 0.3213  4 Cu 1.93-2.12
O: 0.9103 0.6787 0.1030  4 Cu 1.93-2.12

Summary:
ΔE_f (raw): -0.309 eV per atom
crystal system: trigonal
symmetry: R-3
magnetic moment: 0.00 μB/f.u.

Record 6
# Cu2Rh3O8

A geometry-optimized Cu2Rh3O8 structure (PBE, Alexandria via LeMat-Bulk).

Cell lengths 5.5684, 5.5684, 5.2982 Å; angles 98.26, 98.26, 64.62 degrees
Last column: nearest neighbours and their distance in Å.
Fractional positions:
Cu: 0.2027 0.2027 0.0645  5 O 1.98-2.14
Cu: 0.7973 0.7973 0.9355  5 O 1.98-2.14
Rh: 0.2397 0.7603 0.5000  6 O 1.98-2.04
Rh: 0.5000 0.5000 0.0000  6 O 2.00-2.05
Rh: 0.7603 0.2397 0.5000  6 O 1.98-2.04
O: 0.1205 0.1205 0.3851  2 Rh 1.98, 1 Cu 1.98
O: 0.1417 0.6109 0.1460  2 Cu 2.00-2.14, 2 Rh 2.04-2.05
O: 0.3891 0.8583 0.8540  2 Cu 2.00-2.14, 2 Rh 2.04-2.05
O: 0.4000 0.4000 0.6363  3 Rh 2.00-2.01
O: 0.6000 0.6000 0.3637  3 Rh 2.00-2.01
O: 0.6109 0.1417 0.1460  2 Cu 2.00-2.14, 2 Rh 2.04-2.05
O: 0.8583 0.3891 0.8540  2 Cu 2.00-2.14, 2 Rh 2.04-2.05
O: 0.8795 0.8795 0.6149  2 Rh 1.98, 1 Cu 1.98

Summary:
ΔE_f (raw): -0.610 eV per atom
crystal system: monoclinic
symmetry: C2/m
magnetic moment: 0.00 μB/f.u.

Record 7
# CuRh2O6

A geometry-optimized CuRh2O6 structure (PBE, Alexandria via LeMat-Bulk).

Cell lengths 5.3074, 5.3074, 4.5344 Å; angles 90.00, 90.00, 120.00 degrees
Last column: nearest neighbours and their distance in Å.
Fractional positions:
Cu: 0.0000 0.0000 0.0000  6 O 1.99
Rh: 0.3333 0.6667 0.0000  6 O 2.00
Rh: 0.6667 0.3333 0.0000  6 O 2.00
O: 0.0000 0.3308 0.7956  1 Cu 1.99, 2 Rh 2.00
O: 0.0000 0.6692 0.2044  1 Cu 1.99, 2 Rh 2.00
O: 0.3308 0.0000 0.7956  1 Cu 1.99, 2 Rh 2.00
O: 0.3308 0.3308 0.2044  1 Cu 1.99, 2 Rh 2.00
O: 0.6692 0.0000 0.2044  1 Cu 1.99, 2 Rh 2.00
O: 0.6692 0.6692 0.7956  1 Cu 1.99, 2 Rh 2.00

Summary:
ΔE_f (raw): -0.445 eV per atom
crystal system: trigonal
symmetry: P-31m
magnetic moment: 0.00 μB/f.u.

Record 8
# Cu2RhO4

A geometry-optimized Cu2RhO4 structure (PBE, Alexandria via LeMat-Bulk).

Cell lengths 6.2380, 6.2380, 6.2380 Å; angles 123.62, 123.62, 83.83 degrees
Last column: nearest neighbours and their distance in Å.
Fractional positions:
Cu: 0.0000 0.0000 0.0000  4 O 1.94
Cu: 0.0000 0.0000 0.5000  4 O 1.94
Cu: 0.0000 0.5000 0.0000  4 O 1.94
Cu: 0.5000 0.0000 0.5000  4 O 1.94
Rh: 0.3750 0.6250 0.7500  4 O 1.93
Rh: 0.6250 0.3750 0.2500  4 O 1.93
O: 0.1809 0.7210 0.4599  1 Rh 1.93, 2 Cu 1.94
O: 0.2389 0.2790 0.9599  1 Rh 1.93, 2 Cu 1.94
O: 0.2790 0.2389 0.4599  1 Rh 1.93, 2 Cu 1.94
O: 0.2790 0.8191 0.0401  1 Rh 1.93, 2 Cu 1.94
O: 0.7210 0.1809 0.9599  1 Rh 1.93, 2 Cu 1.94
O: 0.7210 0.7611 0.5401  1 Rh 1.93, 2 Cu 1.94
O: 0.7611 0.7210 0.0401  1 Rh 1.93, 2 Cu 1.94
O: 0.8191 0.2790 0.5401  1 Rh 1.93, 2 Cu 1.94

Summary:
ΔE_f (raw): -0.430 eV per atom
crystal system: tetragonal
symmetry: I4_1/amd
magnetic moment: 0.00 μB/f.u.